(1)
A relaxed Mn2TlZnW crystal, computed with PBE.

Energy of formation from the pure elements in eV per atom: 1.1331

Cell: 4.735 4.735 5.083 Å, 90.00 90.00 90.00°
Fractional coordinates of all 5 atoms:
Mn 0.000 0.500 0.000
Mn 0.500 0.000 0.000
Tl 0.000 0.000 0.500
Zn 0.500 0.500 0.500
W 0.500 0.500 0.000

(2)
A relaxed YMnTl crystal, computed with PBE.

Energy of formation from the pure elements in eV per atom: -0.0050

Cell: 4.789 4.789 3.565 Å, 90.00 90.00 120.00°
Fractional coordinates of all 3 atoms:
Y 0.000 0.000 0.000
Mn 0.333 0.667 0.500
Tl 0.667 0.333 0.500

(3)
A relaxed Y2MnTl crystal, computed with PBE.

Energy of formation from the pure elements in eV per atom: 0.0456

Cell: 4.477 4.477 9.976 Å, 90.00 90.00 90.00°
Fractional coordinates of all 8 atoms:
Y 0.000 0.000 0.000
Y 0.000 0.500 0.250
Y 0.500 0.000 0.750
Y 0.500 0.500 0.500
Mn 0.000 0.500 0.750
Mn 0.500 0.000 0.250
Tl 0.000 0.000 0.500
Tl 0.500 0.500 0.000

| no. | total DFT energy (no corrections) (eV per cell) |
| --- | --- |
| 1 | -29.27 |
| 2 | -18.01 |
| 3 | -48.56 |